(1)
Here is a relaxed GeTePtSe2 crystal from Alexandria. Energies are from GGA-PBE.

a b c (Å): 4.8028 4.8028 5.4925
angles (deg): 90.00 90.00 90.00
Space group P4/mmm (No. 123)
Unique sites:
Ge: 0.0000 0.0000 0.0000 [1 per cell]
Te: 0.0000 0.0000 0.5000 [1 per cell]
Pt: 0.5000 0.5000 0.5000 [1 per cell]
Se: 0.0000 0.5000 0.0000 [2 per cell]

Calculated values
ΔE_f (raw)   0.880 eV per atom
VASP energy   -16.4 eV per cell
Magnetization   0.000 μB per formula unit
DOS at the Fermi energy   6.6 states/eV per cell

=====

(2)
Here is a relaxed RbGaMoRu2 crystal from Alexandria. Energies are from GGA-PBE.

a b c (Å): 4.7717 4.7717 4.8135
angles (deg): 90.00 90.00 90.00
Space group P4/mmm (No. 123)
Unique sites:
Rb: 0.0000 0.0000 0.0000 [1 per cell]
Ga: 0.5000 0.5000 0.5000 [1 per cell]
Mo: 0.5000 0.5000 0.0000 [1 per cell]
Ru: 0.0000 0.5000 0.5000 [2 per cell]

Calculated values
VASP energy   -24.9 eV per cell
Magnetization   0.004 μB per formula unit
DOS at the Fermi energy   10.4 states/eV per cell
Formation enthalpy at 0 K   1687 meV per atom

=====

(3)
Here is a relaxed CaTmP2O8 crystal from Alexandria. Energies are from GGA-PBE.

a b c (Å): 5.3372 5.3372 6.9653
angles (deg): 90.00 90.00 120.00
Space group P-3m1 (No. 164)
Unique sites:
Ca: 0.0000 0.0000 0.0000 [1 per cell]
Tm: 0.0000 0.0000 0.5000 [1 per cell]
P: 0.3333 0.6667 0.7859 [2 per cell]
O: 0.1750 0.3501 0.7137 [6 per cell]
O: 0.3333 0.6667 0.0076 [2 per cell]

Calculated values
ΔE_f (raw)   -2.644 eV per atom
VASP energy   -88.7 eV per cell
Magnetization   1.004 μB per formula unit
DOS at the Fermi energy   8.6 states/eV per cell

=====

(4)
Here is a relaxed Np4Ge12Pd crystal from Alexandria. Energies are from GGA-PBE.

a b c (Å): 8.6574 8.6574 8.6574
angles (deg): 90.00 90.00 90.00
Space group Im-3m (No. 229)
Unique sites:
Np: 0.2500 0.2500 0.2500 [8 per cell]
Ge: 0.0000 0.0000 0.2941 [12 per cell]
Ge: 0.0000 0.2500 0.5000 [12 per cell]
Pd: 0.0000 0.0000 0.0000 [2 per cell]

Calculated values
VASP energy   -230.7 eV per cell
Magnetization   15.368 μB per formula unit
DOS at the Fermi energy   78.6 states/eV per cell
Formation enthalpy at 0 K   -175 meV per atom

=====

(5)
Here is a relaxed In3ReMo crystal from Alexandria. Energies are from GGA-PBE.

a b c (Å): 5.1814 5.1814 5.1814
angles (deg): 90.00 90.00 90.00
Space group Pm-3m (No. 221)
Unique sites:
In: 0.0000 0.0000 0.5000 [3 per cell]
Re: 0.0000 0.0000 0.0000 [1 per cell]
Mo: 0.5000 0.5000 0.5000 [1 per cell]

Calculated values
VASP energy   -25.2 eV per cell
Magnetization   4.519 μB per formula unit
Offset from the most stable computed form   0 meV/atom
DOS at the Fermi energy   2.8 states/eV per cell
Formation enthalpy at 0 K   1266 meV per atom

=====

(6)
Here is a relaxed Sm4PdSe2Cl crystal from Alexandria. Energies are from GGA-PBE.

a b c (Å): 7.2347 4.0386 7.3513
angles (deg): 90.00 108.61 90.00
Space group P2/m (No. 10)
Unique sites:
Sm: 0.2370 0.0000 0.2409 [2 per cell]
Sm: 0.2427 0.5000 0.7438 [2 per cell]
Pd: 0.0000 0.5000 0.0000 [1 per cell]
Se: 0.0000 0.0000 0.5000 [1 per cell]
Se: 0.5000 0.5000 0.5000 [1 per cell]
Cl: 0.5000 0.0000 0.0000 [1 per cell]

Calculated values
ΔE_f (raw)   -1.441 eV per atom
VASP energy   -44.4 eV per cell
Magnetization   0.000 μB per formula unit
DOS at the Fermi energy   4.5 states/eV per cell

=====

(7)
Here is a relaxed BaRh2W crystal from Alexandria. Energies are from GGA-PBE.

a b c (Å): 6.7993 6.7993 6.7993
angles (deg): 90.00 90.00 90.00
Space group Fm-3m (No. 225)
Unique sites:
Ba: 0.0000 0.0000 0.0000 [4 per cell]
Rh: 0.2500 0.2500 0.2500 [8 per cell]
W: 0.0000 0.0000 0.5000 [4 per cell]

Calculated values
VASP energy   -105.0 eV per cell
Magnetization   0.004 μB per formula unit
Offset from the most stable computed form   715 meV/atom
DOS at the Fermi energy   21.0 states/eV per cell
Formation enthalpy at 0 K   833 meV per atom

=====

(8)
Here is a relaxed Pa3Mn7Co2 crystal from Alexandria. Energies are from GGA-PBE.

a b c (Å): 4.7752 4.7752 26.0274
angles (deg): 90.00 90.00 120.00
Space group R-3m (No. 166, hexagonal axes)
Unique sites:
Pa: 0.0000 0.0000 0.0000 [3 per cell]
Pa: 0.0000 0.0000 0.1427 [6 per cell]
Mn: 0.0000 0.0000 0.5000 [3 per cell]
Mn: 0.0046 0.5023 0.9202 [18 per cell]
Co: 0.0000 0.0000 0.3348 [6 per cell]

Calculated values
VASP energy   -323.5 eV per cell
Magnetization   0.069 μB per formula unit
DOS at the Fermi energy   57.9 states/eV per cell
Formation enthalpy at 0 K   -78 meV per atom

=====

Number 4 is which compound?
Np4Ge12Pd

=====

Please write out number 7 again, unchanged.
Here is a relaxed BaRh2W crystal from Alexandria. Energies are from GGA-PBE.

a b c (Å): 6.7993 6.7993 6.7993
angles (deg): 90.00 90.00 90.00
Space group Fm-3m (No. 225)
Unique sites:
Ba: 0.0000 0.0000 0.0000 [4 per cell]
Rh: 0.2500 0.2500 0.2500 [8 per cell]
W: 0.0000 0.0000 0.5000 [4 per cell]

Calculated values
VASP energy   -105.0 eV per cell
Magnetization   0.004 μB per formula unit
Offset from the most stable computed form   715 meV/atom
DOS at the Fermi energy   21.0 states/eV per cell
Formation enthalpy at 0 K   833 meV per atom

=====

Which formula does entry 7 have?
BaRh2W